The following is a SCAN calculation of PbAuSe2 at its PBEsol-relaxed geometry, from Alexandria.

a b c (Å): 4.066 4.066 5.679
angles (deg): 90.00 90.00 90.00
Positions (direct):
Se: 0.500 0.500 0.000
Au: 0.000 0.000 0.000
Pb: 0.500 0.500 0.500
Se: 0.000 0.000 0.500

## Properties
- SG: No. 123
- Uncorrected formation energy: -0.0980 eV per atom

The following is a SCAN calculation of Ti2HgPt2 at its PBEsol-relaxed geometry, from Alexandria.

a b c (Å): 2.847 7.595 7.595
angles (deg): 90.00 90.00 90.00
Positions (direct):
Ti: 0.500 0.834 0.334
Pt: 0.000 0.871 0.629
Hg: 0.000 0.500 0.500
Pt: 0.000 0.129 0.371
Ti: 0.500 0.166 0.666
Pt: 0.000 0.371 0.871
Ti: 0.500 0.666 0.834
Pt: 0.000 0.629 0.129
Hg: 0.000 0.000 0.000
Ti: 0.500 0.334 0.166

## Properties
- SG: No. 127
- Uncorrected energy: -489.88 eV for the cell shown